No. 1
The following is a PBE-GGA calculation of crystalline ReNiSe2 at its relaxed geometry, from Alexandria via LeMat-Bulk.

a = 4.0836 Å, b = 4.0836 Å, c = 6.6592 Å
α = 81.00°, β = 81.00°, γ = 45.82°
Last column: nearest neighbours and their distance in Å.
Fractional positions:
Ni 0.4946 0.4946 0.5195  3 Se 2.23-2.30
Re 0.2522 0.2522 0.2826  5 Se 2.49-2.64, 3 Ni 2.61-2.78
Se 0.9806 0.9806 0.1025  3 Re 2.49-2.54
Se 0.7726 0.7726 0.5953  3 Ni 2.23-2.30

Output
Space group: No. 8
Offset from the most stable computed form: 0.079 eV/atom
Formation energy (no corrections): 0.123 eV/atom
Final energy: -6.1770 eV per atom
Magnetization: 0.00 μB/cell

***

No. 2
The following is a PBE-GGA calculation of crystalline Re2NiSe at its relaxed geometry, from Alexandria via LeMat-Bulk.

a = 3.9825 Å, b = 2.8846 Å, c = 5.3908 Å
α = 71.07°, β = 90.00°, γ = 90.00°
Last column: nearest neighbours and their distance in Å.
Fractional positions:
Ni 0.5000 0.7500 0.7500  2 Se 2.61, 8 Re 2.69-2.83, 2 Ni 2.88
Re 0.0000 0.1484 0.9943  2 Se 2.49, 1 Re 2.51, 2 Ni 2.69
Re 0.0000 0.3516 0.5057  2 Se 2.49, 1 Re 2.51, 2 Ni 2.69
Se 0.5000 0.2500 0.2500  4 Re 2.49, 2 Ni 2.61

Output
Space group: No. 10
Formation energy (no corrections): 0.576 eV/atom
Final energy: -7.9648 eV per atom
Magnetization: 0.00 μB/cell